No. 1
DFT (PBE) results for LaP3I after structural relaxation.

```
LaP3I
1.0
5.596 0.000 0.000
0.000 5.596 0.000
0.000 0.000 5.596
I P La
1 3 1
direct
0.500 0.500 0.500
0.000 0.500 0.000
0.000 0.000 0.500
0.500 0.000 0.000
0.000 0.000 0.000
```

As for the energy relative to the elements, uncorrected: 940 meV per atom.


No. 2
DFT (PBE) results for RbCdHg5 after structural relaxation.

```
RbCdHg5
1.0
-2.095 -4.686 -0.314
4.679 -2.112 0.303
-0.680 -0.273 8.602
Rb Cd Hg
1 1 5
direct
0.000 0.000 0.000
0.000 0.000 0.500
0.500 0.000 0.703
0.000 0.500 0.703
0.500 0.500 0.000
0.000 0.500 0.297
0.500 0.000 0.297
```

As for the final energy: -4.06 eV per formula unit.


Result set for density: 3399, 8736 kg/m3, one per record in the order listed.
Result set for total moment: 0.00, 0.00 μB/atom, one per record in the order listed.